Run a
Density functional theory data (PBE) for a relaxed structure of CsTe3Se3.

Cell and atoms, written as extended XYZ:
```
14
Lattice="-4.925 1.023 6.460 -7.489 -3.307 0.002 -0.552 -8.877 6.173" Properties=species:S:1:pos:R:3 pbc="T T T"
Se -9.364 -9.229 7.228
Se -1.089 -2.474 2.071
Se -3.602 -1.932 5.406
Se -11.877 -8.688 10.564
Se -4.946 -4.164 2.098
Se -8.020 -6.998 10.537
Cs -4.806 -9.378 8.197
Cs -8.161 -1.784 4.437
Te -4.388 -5.453 7.913
Te -7.998 -7.059 7.891
Te -8.578 -5.709 4.721
Te -5.603 -7.538 4.785
Te -4.968 -4.103 4.744
Te -7.364 -3.624 7.849
```

Values from the calculation:
DOS at the Fermi energy ... 3.73 states/eV per cell

---

Run b
Density functional theory data (PBE) for a relaxed structure of CsTe3Se3.

Cell and atoms, written as extended XYZ:
```
14
Lattice="6.198 -0.227 5.267 2.909 7.904 4.854 1.293 -0.659 11.997" Properties=species:S:1:pos:R:3 pbc="T T T"
Te 2.562 3.808 5.716
Te 6.721 1.106 9.646
Te 7.676 7.208 16.232
Te 7.838 3.210 16.402
Te 2.723 -0.189 5.886
Te 3.679 5.912 12.473
Se 7.398 6.207 12.300
Se 3.002 0.812 9.819
Se 5.993 5.074 16.649
Se 7.169 -0.609 15.012
Se 4.407 1.944 5.469
Se 3.231 7.628 7.106
Cs 5.061 2.372 13.892
Cs 5.339 4.646 8.226
```

Values from the calculation:
DOS at the Fermi energy ... 3.71 states/eV per cell

---

Run c
Density functional theory data (PBE) for a relaxed structure of CsTe3Se3.

Cell and atoms, written as extended XYZ:
```
14
Lattice="-7.522 -2.046 -2.898 -0.101 -6.667 4.970 -3.546 4.531 6.005" Properties=species:S:1:pos:R:3 pbc="T T T"
Te -3.837 -6.023 2.279
Te -3.786 -2.690 -0.206
Te -2.710 0.065 6.989
Te -0.937 -2.201 3.986
Te -7.414 0.731 0.829
Te -3.653 1.754 2.278
Se -1.798 0.599 4.245
Se -1.931 -3.845 1.761
Se -6.420 2.375 3.055
Se -1.849 -2.735 6.730
Se -5.692 -4.868 0.312
Se -4.647 0.110 0.052
Cs -5.585 -2.091 4.039
Cs 0.000 0.000 0.000
```

Values from the calculation:
DOS at the Fermi energy ... 15.86 states/eV per cell

---

How do the energies compare? Relative to the most stable structure, in meV/atom: run a 0; run b 8; run c 291.

---

Run a
Density functional theory data (PBE) for a relaxed structure of Cs2TeSe.

Cell and atoms, written as extended XYZ:
```
8
Lattice="5.803 0.616 0.000 0.611 6.710 0.000 0.000 0.000 9.887" Properties=species:S:1:pos:R:3 pbc="T T T"
Se 1.146 2.904 7.416
Se 5.268 4.423 2.472
Cs 4.414 2.175 9.620
Cs 2.000 5.151 0.267
Cs 2.000 5.151 4.676
Cs 4.414 2.175 5.211
Te 5.149 5.415 7.416
Te 1.266 1.911 2.472
```

---

Run b
Density functional theory data (PBE) for a relaxed structure of Cs2TeSe.

Cell and atoms, written as extended XYZ:
```
16
Lattice="-4.342 -5.117 1.991 7.080 -6.560 -1.419 3.097 1.209 9.859" Properties=species:S:1:pos:R:3 pbc="T T T"
Te -1.604 -4.364 3.784
Te 7.439 -6.103 6.647
Te 3.884 -2.841 7.363
Te 1.950 -7.627 3.068
Cs 1.175 -1.558 4.738
Cs -0.050 -2.036 0.839
Cs 1.110 -5.641 6.407
Cs 5.884 -8.431 9.592
Cs 4.725 -4.826 4.024
Cs 3.500 -5.305 0.125
Cs 4.659 -8.909 5.693
Cs 2.335 -5.163 10.306
Se 4.716 -8.080 2.255
Se 6.677 -3.289 6.541
Se -0.842 -7.179 3.890
Se 1.119 -2.387 8.176
```

---

How do the energies compare? Relative to the most stable structure, in meV/atom: run a 55; run b 0.

---

Run a
Density functional theory data (PBE) for a relaxed structure of Cs2TeSe.

Cell and atoms, written as extended XYZ:
```
4
Lattice="0.108 2.225 5.938 -5.117 -0.590 3.701 0.075 -4.031 4.896" Properties=species:S:1:pos:R:3 pbc="T T T"
Cs -3.700 -1.797 10.901
Cs -1.233 -0.599 3.634
Te -2.467 -1.198 7.268
Se 0.000 0.000 0.000
```

Values from the calculation:
DOS at the Fermi energy ... 3.45 states/eV per cell

---

Run b
Density functional theory data (PBE) for a relaxed structure of Cs2TeSe.

Cell and atoms, written as extended XYZ:
```
8
Lattice="-1.669 -11.729 -3.445 7.558 1.743 -9.594 5.212 -5.797 -4.880" Properties=species:S:1:pos:R:3 pbc="T T T"
Cs 5.575 -3.534 -8.149
Cs 7.961 -13.339 -13.672
Cs 7.218 -7.838 -9.947
Cs 1.448 -6.854 -4.071
Te 0.000 0.000 0.000
Te 3.244 -11.259 -7.423
Se 7.857 -4.523 -10.497
Se 2.945 -4.993 -6.520
```

Values from the calculation:
DOS at the Fermi energy ... 0.81 states/eV per cell

---

How do the energies compare? Relative to the most stable structure, in meV/atom: run a 184; run b 0.

---

Run a
Density functional theory data (PBE) for a relaxed structure of Cs3TeSe3.

Cell and atoms, written as extended XYZ:
```
14
Lattice="8.927 -0.303 -0.050 -3.098 8.378 -0.050 0.594 0.823 8.925" Properties=species:S:1:pos:R:3 pbc="T T T"
Se 4.132 1.837 6.324
Se 2.292 7.061 2.502
Se 0.537 0.744 1.683
Se 5.980 4.398 2.502
Se 5.886 8.153 7.143
Se 0.443 4.500 6.324
Cs 2.417 3.349 3.064
Cs 6.236 1.640 -0.050
Cs 7.171 1.591 4.413
Cs -0.407 6.435 -0.050
Cs 4.006 5.549 5.761
Cs -0.748 7.307 4.413
Te 1.603 2.220 7.171
Te 4.820 6.677 1.654
```

---

Run b
Density functional theory data (PBE) for a relaxed structure of Cs3TeSe3.

Cell and atoms, written as extended XYZ:
```
14
Lattice="-1.576 3.324 -6.381 -5.387 -8.592 -3.145 -4.982 7.754 5.270" Properties=species:S:1:pos:R:3 pbc="T T T"
Se -7.132 -0.480 -0.613
Se -8.934 4.355 -1.900
Se -6.794 -4.588 -2.837
Se -5.151 7.075 -1.418
Se -3.011 -1.868 -2.355
Se -4.813 2.966 -3.642
Cs -8.358 2.543 1.265
Cs -3.587 -0.057 -5.520
Cs -8.149 1.263 -3.705
Cs -3.796 1.224 -0.550
Cs -4.378 5.643 1.896
Cs -7.567 -3.156 -6.151
Te -5.646 -2.312 -1.935
Te -6.299 4.798 -2.320
```

Values from the calculation:
DOS at the Fermi energy ... 8.59 states/eV per cell

---

How do the energies compare? Relative to the most stable structure, in meV/atom: run a 0; run b 17.

---

Run a
Density functional theory data (PBE) for a relaxed structure of CsTeSe4.

Cell and atoms, written as extended XYZ:
```
6
Lattice="-1.857 -2.108 -4.600 -4.030 -2.444 2.615 -4.615 6.203 -1.101" Properties=species:S:1:pos:R:3 pbc="T T T"
Se -7.191 -2.080 -2.263
Se -6.452 4.180 -1.749
Se -4.050 -2.528 -1.338
Se -3.311 3.732 -0.824
Cs -5.251 0.826 -1.543
Te 0.000 0.000 0.000
```

Values from the calculation:
DOS at the Fermi energy ... 5.89 states/eV per cell

---

Run b
Density functional theory data (PBE) for a relaxed structure of CsTeSe4.

Cell and atoms, written as extended XYZ:
```
12
Lattice="-9.219 0.983 0.743 -1.108 -7.130 5.932 5.856 6.426 0.822" Properties=species:S:1:pos:R:3 pbc="T T T"
Se 0.809 0.467 4.573
Se -4.958 -4.854 5.879
Se -5.279 -0.187 2.924
Se -0.533 -0.689 1.783
Se -4.409 4.911 1.860
Se 0.488 5.134 1.618
Se -0.062 -4.630 5.637
Se -3.938 0.969 5.714
Te -6.868 0.960 0.833
Te 2.398 -0.680 6.664
Cs -1.709 3.128 3.761
Cs -2.761 -2.848 3.736
```

Values from the calculation:
DOS at the Fermi energy ... 2.68 states/eV per cell

---

How do the energies compare? Relative to the most stable structure, in meV/atom: run a 72; run b 0.

---

Run a
Density functional theory data (PBE) for a relaxed structure of Cs2TlTeSe.

Cell and atoms, written as extended XYZ:
```
10
Lattice="5.740 0.000 0.000 0.000 8.125 0.624 0.000 -2.716 9.669" Properties=species:S:1:pos:R:3 pbc="T T T"
Cs 1.435 -0.031 3.586
Cs 1.435 -0.488 9.479
Cs 4.305 5.898 0.814
Cs 4.305 5.440 6.707
Tl 4.305 2.959 3.607
Tl 1.435 2.451 6.686
Se 1.435 4.362 8.623
Se 4.305 1.047 1.670
Te 4.305 1.317 6.459
Te 1.435 4.092 3.834
```

Values from the calculation:
DOS at the Fermi energy ... 0.79 states/eV per cell

---

Run b
Density functional theory data (PBE) for a relaxed structure of Cs2TlTeSe.

Cell and atoms, written as extended XYZ:
```
5
Lattice="-3.460 3.228 -5.093 2.026 -4.909 -4.487 -4.509 -2.952 1.193" Properties=species:S:1:pos:R:3 pbc="T T T"
Tl -2.255 -1.476 0.596
Cs 1.013 -2.454 -2.244
Cs -1.730 1.614 -2.547
Te -2.972 -2.316 -4.194
Se 0.000 0.000 0.000
```

Values from the calculation:
DOS at the Fermi energy ... 4.03 states/eV per cell

---

How do the energies compare? Relative to the most stable structure, in meV/atom: run a 0; run b 226.

---

Run a
Density functional theory data (PBE) for a relaxed structure of Cs4TiSe4.

Cell and atoms, written as extended XYZ:
```
9
Lattice="-3.844 2.509 5.722 -4.761 -4.571 -5.896 -1.515 -6.892 2.004" Properties=species:S:1:pos:R:3 pbc="T T T"
Cs -6.814 -7.666 0.643
Cs -4.826 -0.296 3.449
Cs -4.695 -5.933 -2.412
Cs -3.905 -4.014 1.979
Se -5.528 -3.531 5.464
Se -2.191 -0.801 0.654
Se -6.986 -3.862 -0.072
Se -5.536 -9.715 -2.387
Ti 0.000 0.000 0.000
```

Values from the calculation:
DOS at the Fermi energy ... 0.00 states/eV per cell

---

Run b
Density functional theory data (PBE) for a relaxed structure of Cs4TiSe4.

Cell and atoms, written as extended XYZ:
```
9
Lattice="7.199 0.000 0.000 3.599 7.403 0.000 3.599 0.000 7.403" Properties=species:S:1:pos:R:3 pbc="T T T"
Cs 7.199 5.846 2.786
Cs 7.199 1.557 4.617
Cs 3.599 2.786 1.557
Cs 10.798 4.617 5.846
Ti 0.000 0.000 0.000
Se 7.199 5.169 6.263
Se 7.199 2.234 1.140
Se 3.599 1.140 5.169
Se 10.798 6.263 2.234
```

Values from the calculation:
DOS at the Fermi energy ... 8.70 states/eV per cell

---

How do the energies compare? Relative to the most stable structure, in meV/atom: run a 0; run b 291.

---

Run a
Density functional theory data (PBE) for a relaxed structure of Cs2TiSe.

Cell and atoms, written as extended XYZ:
```
4
Lattice="3.018 -2.498 4.792 -3.165 -2.215 4.836 -0.272 -6.104 0.987" Properties=species:S:1:pos:R:3 pbc="T T T"
Cs -0.105 -2.704 2.654
Cs -0.314 -8.113 7.961
Ti 0.000 0.000 0.000
Se -0.209 -5.408 5.307
```

Values from the calculation:
DOS at the Fermi energy ... 5.05 states/eV per cell

---

Run b
Density functional theory data (PBE) for a relaxed structure of Cs2TiSe.

Cell and atoms, written as extended XYZ:
```
8
Lattice="-0.679 -8.692 -5.133 -4.209 7.985 4.568 2.702 5.323 -8.168" Properties=species:S:1:pos:R:3 pbc="T T T"
Se -1.976 6.478 -1.941
Se 0.000 0.000 0.000
Cs -3.198 8.165 1.061
Cs -1.975 4.614 -5.084
Cs -1.130 3.475 -0.037
Cs -1.600 9.657 -3.703
Ti -2.444 -0.353 -0.282
Ti -0.210 -1.861 -6.791
```

Values from the calculation:
DOS at the Fermi energy ... 12.62 states/eV per cell

---

How do the energies compare? Relative to the most stable structure, in meV/atom: run a 541; run b 0.

---

Run a
Density functional theory data (PBE) for a relaxed structure of CsTlSe.

Cell and atoms, written as extended XYZ:
```
12
Lattice="-0.160 1.492 4.509 -12.469 3.559 -1.621 -2.719 -8.316 2.656" Properties=species:S:1:pos:R:3 pbc="T T T"
Se -5.036 1.451 1.844
Se -12.205 0.370 1.949
Se -4.158 -5.750 6.763
Se -9.297 -2.602 0.532
Cs -11.952 3.718 0.848
Cs -2.205 -4.333 1.357
Cs -9.710 -4.459 6.138
Cs -6.829 -1.458 2.745
Tl -11.274 -2.269 2.856
Tl -10.228 0.037 -0.375
Tl -3.790 0.864 4.587
Tl -5.404 -5.163 4.020
```

---

Run b
Density functional theory data (PBE) for a relaxed structure of CsTlSe.

Cell and atoms, written as extended XYZ:
```
6
Lattice="4.980 0.000 0.000 -2.490 6.262 -1.541 0.000 -0.331 8.416" Properties=species:S:1:pos:R:3 pbc="T T T"
Se 2.490 3.659 1.073
Se 0.000 2.272 5.802
Tl 2.490 1.268 7.326
Tl 0.000 4.664 -0.450
Cs 2.490 4.645 4.550
Cs 0.000 1.286 2.325
```

---

How do the energies compare? Relative to the most stable structure, in meV/atom: run a 25; run b 0.

---

Run a
Density functional theory data (PBE) for a relaxed structure of CsTlSe.

Cell and atoms, written as extended XYZ:
```
3
Lattice="6.517 0.000 0.000 0.000 4.749 0.000 0.000 -2.375 4.113" Properties=species:S:1:pos:R:3 pbc="T T T"
Tl 1.632 0.000 2.742
Cs 4.612 2.375 1.371
Se 0.274 0.000 0.000
```

Values from the calculation:
DOS at the Fermi energy ... 0.00 states/eV per cell

---

Run b
Density functional theory data (PBE) for a relaxed structure of CsTlSe.

Cell and atoms, written as extended XYZ:
```
3
Lattice="5.724 0.000 0.000 2.862 4.957 0.000 2.862 1.652 4.674" Properties=species:S:1:pos:R:3 pbc="T T T"
Cs 0.000 0.000 0.000
Se 2.862 1.652 1.168
Tl 5.724 3.305 2.337
```

---

Run c
Density functional theory data (PBE) for a relaxed structure of CsTlSe.

Cell and atoms, written as extended XYZ:
```
12
Lattice="4.660 0.000 0.000 0.000 8.509 0.000 0.000 0.000 12.198" Properties=species:S:1:pos:R:3 pbc="T T T"
Cs 1.165 8.504 3.745
Cs 1.165 4.249 2.354
Cs 3.495 0.006 8.453
Cs 3.495 4.260 9.844
Tl 1.165 5.676 6.781
Tl 1.165 1.421 11.516
Tl 3.495 7.088 0.682
Tl 3.495 2.833 5.417
Se 1.165 2.698 7.363
Se 1.165 6.953 10.934
Se 3.495 1.557 1.264
Se 3.495 5.811 4.835
```

Values from the calculation:
DOS at the Fermi energy ... 0.00 states/eV per cell

---

How do the energies compare? Relative to the most stable structure, in meV/atom: run a 36; run b 128; run c 0.